SrCoSn2: optimized geometry, PBE.

a b c (Å): 5.0935 5.0935 5.0935
angles (deg): 60.00 60.00 60.00
Positions (direct):
Co1 0.0000 0.0000 0.0000
Sn1 0.7500 0.7500 0.7500
Sn2 0.2500 0.2500 0.2500
Sr1 0.5000 0.5000 0.5000

- symmetry = Fm-3m (225)
- ΔE_f (meV/atom) = 122.9
- N(E_F) (states/eV/f.u.) = 1.962
- calculated total energy (eV/atom) = -4.08